La2MoIrF after structural relaxation. Source: the Alexandria database, functional PBE+U.

```
La2MoIrF
1.0
-0.265 5.105 2.399
-2.052 -1.703 3.396
4.962 -0.932 2.531
Mo Ir F La
1 1 1 2
Direct
0.500 0.500 0.500
0.000 0.000 0.000
0.000 0.500 0.000
0.000 0.000 0.500
0.500 0.000 0.000
```

Properties
Final energy ... -27.83 eV/f.u.